! Ca2ZrP, relaxed, DFT GGA-PBEsol; values from VASP
&SYSTEM
  ibrav = 0, nat = 4, ntyp = 3
/
ATOMIC_SPECIES
Zr 91.22 Zr.upf
Ca 40.08 Ca.upf
P 30.97 P.upf
CELL_PARAMETERS angstrom
-0.6482 1.1679 3.1686
-2.1263 -1.7362 2.0708
6.7465 -5.4154 5.2419
ATOMIC_POSITIONS crystal
Zr 0.0000 0.0000 0.0000
Ca 0.7674 0.7674 0.6979
Ca 0.2326 0.2326 0.3021
P 0.5000 0.5000 0.5000
! ΔH_f (0 K) (eV per formula unit): -0.28
! Total magnetization (μB/f.u.): 0.001
! N(E_F) (states/eV per cell): 4.55